The following is a PBE+U calculation of an optimized crystal structure of Y2Ni2F, from Alexandria via LeMat-Bulk. Values from VASP.

Output
energy above the most stable polymorph in this dataset: 1.21 eV per formula unit
total moment: 0.0 μB/cell
DFT total energy: -19.84 eV/f.u.

Structure (Quantum ESPRESSO input):
```
&SYSTEM
  ibrav = 0, nat = 5, ntyp = 3
/
ATOMIC_SPECIES
Ni 58.69 Ni.upf
Y 88.91 Y.upf
F 19.00 F.upf
ATOMIC_POSITIONS crystal
Ni 0.344 0.344 0.311
Ni 0.656 0.656 0.689
Y 0.250 0.750 0.500
Y 0.750 0.250 0.500
F 0.000 0.000 0.000
CELL_PARAMETERS angstrom
-0.962 4.483 -2.392
-4.283 0.595 2.837
-0.762 4.246 2.673
```